[1]
Computed, not measured: a geometry-optimized Co3CuSn2S8 structure at the PBE level of DFT.

Cell lengths 7.0800, 7.0800, 7.0800 Å; angles 120.40, 119.01, 90.52 degrees
Closest atoms and distances in Å follow each position.
Element x y z (fractional)
Sn  0.2490  0.5006  0.7484  6 S 2.54-2.58
Sn  0.7522  0.5006  0.2516  6 S 2.54-2.58
S  0.0257  0.2439  0.7817  3 Co 2.31-2.37, 1 Sn 2.57
S  0.4695  0.7540  0.7155  1 Cu 2.33, 2 Co 2.34, 1 Sn 2.54
S  0.4820  0.2225  0.7405  2 Co 2.26-2.31
S  0.4622  0.2439  0.2183  3 Co 2.31-2.37, 1 Sn 2.57
S  0.0203  0.2638  0.2435  1 Co 2.29, 1 Cu 2.30, 2 Sn 2.55
S  0.4820  0.7415  0.2595  2 Co 2.26-2.31
S  0.0203  0.7767  0.7565  1 Co 2.29, 1 Cu 2.30, 2 Sn 2.55
S  0.0385  0.7540  0.2845  1 Cu 2.33, 2 Co 2.34, 1 Sn 2.54
Cu  0.8660  0.8660  0.0000  4 S 2.30-2.33
Co  0.2503  0.5020  0.2516  6 S 2.29-2.37
Co  0.2503  0.9987  0.7484  6 S 2.29-2.37
Co  0.6317  0.1317  0.5000  4 S 2.26-2.31

=====

[2]
Computed, not measured: a geometry-optimized TiCoCuS4 structure at the PBE level of DFT.

Cell lengths 6.9092, 6.9092, 6.9092 Å; angles 121.07, 118.69, 90.22 degrees
Closest atoms and distances in Å follow each position.
Element x y z (fractional)
S  0.7436  0.2369  0.5066  1 Cu 2.25, 1 Co 2.31, 2 Ti 2.42
S  0.7697  0.7631  0.0066  1 Cu 2.25, 1 Co 2.31, 2 Ti 2.42
S  0.2564  0.7631  0.4934  1 Cu 2.25, 1 Co 2.31, 2 Ti 2.42
S  0.2484  0.7763  0.0279  1 Cu 2.26, 2 Co 2.32, 1 Ti 2.43
S  0.2303  0.2369  0.9934  1 Cu 2.25, 1 Co 2.31, 2 Ti 2.42
S  0.7516  0.2237  0.9721  1 Cu 2.26, 2 Co 2.32, 1 Ti 2.43
S  0.2484  0.2204  0.4721  1 Cu 2.26, 2 Co 2.32, 1 Ti 2.43
S  0.7516  0.7796  0.5279  1 Cu 2.26, 2 Co 2.32, 1 Ti 2.43
Ti  0.0000  0.0000  0.5000  6 S 2.42-2.43
Ti  0.0000  0.5000  0.0000  6 S 2.42-2.43
Cu  0.6238  0.3738  0.2500  4 S 2.25-2.26
Cu  0.3762  0.6262  0.7500  4 S 2.25-2.26
Co  0.5000  0.0000  0.5000  6 S 2.31-2.32
Co  0.0000  0.0000  0.0000  6 S 2.31-2.32

=====

[3]
Computed, not measured: a geometry-optimized Ti3CoCu2S8 structure at the PBE level of DFT.

Cell lengths 7.0510, 7.0510, 7.0510 Å; angles 59.18, 59.18, 59.18 degrees
Closest atoms and distances in Å follow each position.
Element x y z (fractional)
S  0.7456  0.7456  0.7456  1 Cu 2.25, 3 Ti 2.43
S  0.7364  0.2717  0.7364  1 Cu 2.26, 1 Co 2.34, 2 Ti 2.44
S  0.2636  0.7283  0.2636  1 Cu 2.26, 1 Co 2.34, 2 Ti 2.44
S  0.7283  0.2636  0.2636  1 Cu 2.26, 1 Co 2.34, 2 Ti 2.44
S  0.7364  0.7364  0.2717  1 Cu 2.26, 1 Co 2.34, 2 Ti 2.44
S  0.2636  0.2636  0.7283  1 Cu 2.26, 1 Co 2.34, 2 Ti 2.44
S  0.2544  0.2544  0.2544  1 Cu 2.25, 3 Ti 2.43
S  0.2717  0.7364  0.7364  1 Cu 2.26, 1 Co 2.34, 2 Ti 2.44
Ti  0.0000  0.5000  0.5000  6 S 2.43-2.44
Ti  0.5000  0.5000  0.0000  6 S 2.43-2.44
Ti  0.5000  0.0000  0.5000  6 S 2.43-2.44
Cu  0.1249  0.1249  0.1249  4 S 2.25-2.26
Cu  0.8751  0.8751  0.8751  4 S 2.25-2.26
Co  0.5000  0.5000  0.5000  6 S 2.34

=====

[4]
Computed, not measured: a geometry-optimized V2CoCuS structure at the PBE level of DFT.

Cell lengths 4.2683, 4.3969, 4.2683 Å; angles 90.00, 90.00, 90.00 degrees
Closest atoms and distances in Å follow each position.
Element x y z (fractional)
Cu  0.0000  0.5000  0.0000  2 Co 2.20
V  0.0000  0.0000  0.5000  2 Co 2.13
V  0.5000  0.0000  0.0000  2 Co 2.13
Co  0.0000  0.0000  0.0000  4 V 2.13, 2 Cu 2.20
S  0.5000  0.5000  0.5000  4 Cu 3.02, 8 V 3.06

=====

[5]
Computed, not measured: a geometry-optimized ZnCoCu2S structure at the PBE level of DFT.

Cell lengths 4.4796, 4.5158, 4.4796 Å; angles 90.00, 90.00, 90.00 degrees
Closest atoms and distances in Å follow each position.
Element x y z (fractional)
Zn  0.0000  0.0000  0.0000  4 Cu 2.24, 2 S 2.26
S  0.0000  0.5000  0.0000  2 Zn 2.26
Cu  0.0000  0.0000  0.5000  2 Zn 2.24
Cu  0.5000  0.0000  0.0000  2 Zn 2.24
Co  0.5000  0.5000  0.5000  4 S 3.17, 8 Cu 3.18

=====

[6]
Computed, not measured: a geometry-optimized Zn2CoCuS structure at the PBE level of DFT.

Cell lengths 4.5642, 4.4164, 4.5642 Å; angles 90.00, 90.00, 90.00 degrees
Closest atoms and distances in Å follow each position.
Element x y z (fractional)
Zn  0.5000  0.0000  0.0000  2 Co 2.28
Zn  0.0000  0.0000  0.5000  2 Co 2.28
S  0.5000  0.5000  0.5000  8 Zn 3.18, 4 Cu 3.23
Co  0.0000  0.0000  0.0000  2 Cu 2.21, 4 Zn 2.28
Cu  0.0000  0.5000  0.0000  2 Co 2.21

=====

How do the records compare in energy relative to the elements, uncorrected? In the order shown, they have -4.7, -5.2, -13.1, 4.1, 5.1, 3.8 eV/f.u..